[1]
# AlV3

A relaxed structure of AlV3 (PBE-GGA, Alexandria).

Structure (POSCAR):
```
AlV3
1.0
-2.908 2.842 -1.510
-3.694 -2.754 1.931
0.638 5.374 8.884
Al V
4 12
Cartesian
-3.345 5.237 6.954
-2.619 0.225 2.351
-0.694 2.260 2.474
-5.270 3.202 6.831
-3.362 4.016 4.688
-2.602 1.446 4.618
-0.779 4.694 7.220
-3.509 1.397 0.042
-0.992 0.829 0.355
-2.718 2.551 6.920
-3.246 2.911 2.386
-2.455 4.065 9.263
-5.185 0.768 2.085
-0.861 3.315 4.782
-4.972 4.634 8.950
-5.103 2.147 4.523
```

Computed properties:
formation energy from the elements: -0.051 eV per atom
space-group type: No. 62
volume: 14.09 Å³ per atom

=====

[2]
# Y3CrAs

A relaxed structure of Y3CrAs (PBE-GGA, Alexandria).

Structure (POSCAR):
```
Y3CrAs
1.0
-1.817 3.507 -3.690
-4.678 -2.696 -0.260
-2.009 3.106 3.941
Y Cr As
3 1 1
Cartesian
-0.908 1.754 -1.845
-1.005 1.553 1.971
-2.339 -1.348 -0.130
-4.252 1.958 -0.005
0.000 0.000 0.000
```

Computed properties:
formation energy from the elements: 0.010 eV per atom
space-group type: No. 221
volume: 31.59 Å³ per atom

=====

[3]
# CsP2AuS

A relaxed structure of CsP2AuS (PBE-GGA, Alexandria).

Structure (POSCAR):
```
CsP2AuS
1.0
-4.140 -4.199 -0.420
3.857 -3.526 -2.764
1.561 -2.013 4.747
S Cs P Au
1 1 2 1
Cartesian
0.780 -1.007 2.374
0.000 0.000 0.000
-2.070 -2.100 -0.210
1.929 -1.763 -1.382
0.639 -4.869 0.782
```

Computed properties:
space-group type: No. 123
volume: 37.65 Å³ per atom
ΔE_f (raw): 10.17 eV per formula unit

=====

[4]
# LaZrIn2

A relaxed structure of LaZrIn2 (PBE-GGA, Alexandria).

Structure (POSCAR):
```
LaZrIn2
1.0
-3.939 9.868 -2.746
-5.752 9.345 0.101
-2.604 10.656 0.297
Zr In La
1 2 1
Cartesian
-9.164 22.265 -1.749
-3.148 7.649 -0.601
-0.017 0.041 -0.003
-6.112 14.851 -1.167
```

Computed properties:
formation energy from the elements: -0.015 eV per atom
space-group type: No. 160
volume: 27.26 Å³ per atom

=====

[5]
# CoSN

A relaxed structure of CoSN (PBE-GGA, Alexandria).

Structure (POSCAR):
```
CoSN
1.0
3.598 0.000 -0.005
0.000 3.327 0.000
-2.502 0.000 6.681
N Co S
2 2 2
Cartesian
1.551 1.664 0.221
0.300 0.000 3.561
3.336 1.664 0.692
2.085 0.000 4.032
-0.423 0.000 2.106
-1.674 1.664 5.446
```

Computed properties:
space-group type: No. 8
volume: 13.32 Å³ per atom
ΔE_f (raw): 0.60 eV per formula unit

=====

[6]
# PmMgCdAg

A relaxed structure of PmMgCdAg (PBE-GGA, Alexandria).

Structure (POSCAR):
```
PmMgCdAg
1.0
-0.192 -0.463 5.073
-1.644 -4.343 2.103
3.282 -3.070 2.405
Cd Ag Pm Mg
1 1 1 1
Cartesian
1.084 -5.906 7.185
0.361 -1.969 2.395
0.723 -3.937 4.790
0.000 0.000 0.000
```

Computed properties:
formation energy from the elements: -0.314 eV per atom
space-group type: No. 216
volume: 23.41 Å³ per atom

=====

> Which of these has the lowest volume?

CoSN

=====

Copy entry 6 word for word.
# PmMgCdAg

A relaxed structure of PmMgCdAg (PBE-GGA, Alexandria).

Structure (POSCAR):
```
PmMgCdAg
1.0
-0.192 -0.463 5.073
-1.644 -4.343 2.103
3.282 -3.070 2.405
Cd Ag Pm Mg
1 1 1 1
Cartesian
1.084 -5.906 7.185
0.361 -1.969 2.395
0.723 -3.937 4.790
0.000 0.000 0.000
```

Computed properties:
formation energy from the elements: -0.314 eV per atom
space-group type: No. 216
volume: 23.41 Å³ per atom